A geometry-optimized Pu3ZrSe4 structure, computed with PBE.

Lattice parameters (Å, degrees): 7.066 7.017 8.122 90.00 90.00 109.59
Site moments in Bohr magnetons follow the coordinates.
Positions (direct):
Pu: 0.250 0.000 0.628  5.29
Pu: 0.250 0.500 0.877  5.34
Pu: 0.750 0.000 0.372  5.29
Pu: 0.750 0.500 0.123  5.34
Pu: 0.250 0.500 0.373  -5.32
Pu: 0.750 0.500 0.627  -5.32
Se: 0.998 0.238 0.118  -0.03
Se: 0.004 0.756 0.371  -0.02
Se: 0.498 0.238 0.882  -0.03
Se: 0.996 0.244 0.629  -0.02
Se: 0.504 0.756 0.629  -0.02
Se: 0.496 0.244 0.371  -0.02
Se: 0.002 0.762 0.882  -0.03
Se: 0.502 0.762 0.118  -0.03
Zr: 0.750 0.000 0.870  0.07
Zr: 0.250 0.000 0.130  0.07

Results
The theoretical density comes out at 10.0 g/cm³. The value obtained for the uncorrected energy is -9.59 eV/atom. The space-group type is P2/c (13).